# 1
VFeH2 PBE relaxed; spin magnetization = 4.01 μB/cell; space group = No. 57
1.0
5.388 0.000 0.000
0.000 4.634 0.000
0.000 0.000 4.433
V Fe H
4 4 8
Cartesian
0.734 0.367 1.108
0.734 1.950 3.325
4.654 2.684 1.108
4.654 4.267 3.325
2.029 2.701 1.108
2.029 4.251 3.325
3.360 0.383 1.108
3.360 1.934 3.325
0.623 3.476 0.000
0.623 3.476 2.217
2.120 1.159 0.000
2.120 1.159 2.217
3.269 3.476 0.000
3.269 3.476 2.217
4.765 1.159 0.000
4.765 1.159 2.217


# 2
CeTm2Cd9 PBE relaxed; spin magnetization = 1.17 μB/cell; formation enthalpy at 0 K = -180 meV/atom; space group = No. 166
1.0
2.961 1.710 9.485
-2.961 1.710 9.485
0.000 -3.420 9.485
Ce Tm Cd
1 2 9
Cartesian
0.000 0.000 0.000
0.000 0.000 4.073
0.000 0.000 24.382
-1.517 -0.876 11.933
0.000 0.000 9.534
0.000 -1.752 16.522
-1.517 0.876 16.522
0.000 0.000 14.227
1.517 -0.876 11.933
0.000 1.752 11.933
0.000 0.000 18.921
1.517 0.876 16.522


| no. | uncorrected energy (hartree per atom) |
| --- | --- |
| 1 | -0.22763 |
| 2 | -0.07741 |